1.
The following is a DFT calculation (GGA-PBE) of a geometry-optimized SrMg14Si structure.

- energy relative to the lowest polymorph listed for this composition (meV/atom) = 34

Unit cell a=6.5358 b=6.5358 c=10.3456 alpha=90.00 beta=90.00 gamma=120.00
Positions (direct):
Sr: 0.0000 0.0000 0.5000
Mg: 0.9874 0.4937 0.0000
Mg: 0.0128 0.5064 0.5000
Mg: 0.5063 0.0126 0.0000
Mg: 0.4936 0.9872 0.5000
Mg: 0.5063 0.4937 0.0000
Mg: 0.4936 0.5064 0.5000
Mg: 0.1644 0.8356 0.2280
Mg: 0.1644 0.8356 0.7720
Mg: 0.1644 0.3288 0.2280
Mg: 0.1644 0.3288 0.7720
Mg: 0.6712 0.8356 0.2280
Mg: 0.6712 0.8356 0.7720
Mg: 0.6667 0.3333 0.2575
Mg: 0.6667 0.3333 0.7425
Si: 0.0000 0.0000 0.0000

***

2.
The following is a DFT calculation (GGA-PBE) of a geometry-optimized Sr2MgSi structure.

Unit cell a=4.0320 b=3.8126 c=9.0461 alpha=65.06 beta=90.00 gamma=90.00
Positions (direct):
Mg: 0.5000 0.2500 0.2500
Si: 0.5000 0.7500 0.7500
Sr: 0.0000 0.0335 0.9666
Sr: 0.0000 0.4665 0.5334

***

3.
The following is a DFT calculation (GGA-PBE) of a geometry-optimized SrMg4Si2 structure.

Unit cell a=4.3441 b=8.5659 c=8.5659 alpha=90.00 beta=90.00 gamma=90.00
Positions (direct):
Sr: 0.5000 0.0000 0.0000
Sr: 0.0000 0.5000 0.5000
Mg: 0.0000 0.0882 0.3344
Mg: 0.0000 0.9118 0.6656
Mg: 0.5000 0.1656 0.5882
Mg: 0.5000 0.8344 0.4118
Mg: 0.5000 0.4118 0.8344
Mg: 0.5000 0.5882 0.1656
Mg: 0.0000 0.3344 0.0882
Mg: 0.0000 0.6656 0.9118
Si: 0.0000 0.2135 0.7865
Si: 0.0000 0.7865 0.2135
Si: 0.5000 0.7135 0.7135
Si: 0.5000 0.2865 0.2865

***

4.
The following is a DFT calculation (GGA-PBE) of a geometry-optimized Sr6MgSi2 structure.

Unit cell a=9.6125 b=9.6125 c=9.6125 alpha=105.99 beta=111.89 gamma=110.59
Positions (direct):
Sr: 0.4709 0.2873 0.1836
Sr: 0.5291 0.7127 0.8164
Sr: 0.8963 0.7127 0.1836
Sr: 0.1037 0.2873 0.8164
Sr: 0.2098 0.7643 0.9741
Sr: 0.7902 0.2357 0.0259
Sr: 0.7902 0.7643 0.5545
Sr: 0.2098 0.2357 0.4455
Sr: 0.3108 0.9901 0.6793
Sr: 0.6892 0.0099 0.3207
Sr: 0.6892 0.3685 0.6793
Sr: 0.3108 0.6315 0.3207
Mg: 0.0000 0.5000 0.5000
Mg: 0.0000 0.0000 0.0000
Si: 0.5000 0.3940 0.8940
Si: 0.5000 0.6060 0.1060
Si: 0.3761 0.0000 0.3761
Si: 0.6239 0.0000 0.6239

***

| no. | DFT total energy (eV per atom) | ΔE_f (raw) (eV per atom) |
| --- | --- | --- |
| 1 | -1.78 | 0.0625 |
| 2 | -2.73 | -0.1380 |
| 3 | -2.93 | -0.2318 |
| 4 | -2.71 | -0.2072 |